## 1
A geometry-optimized CdCuI2 structure. Source: Alexandria via LeMat-Bulk, functional PBE-GGA.

Geometry as CIF:
```
data_CdCuI2
_cell_length_a 7.595
_cell_length_b 7.595
_cell_length_c 7.595
_cell_angle_alpha 90.00
_cell_angle_beta 90.00
_cell_angle_gamma 90.00
_symmetry_space_group_name_H-M 'F m -3 m'
_symmetry_Int_Tables_number 225
_symmetry_space_group_name_Hall '-F 4 2 3'
loop_
_atom_site_label
_atom_site_type_symbol
_atom_site_fract_x
_atom_site_fract_y
_atom_site_fract_z
Cd1 Cd 0.000 0.000 0.000
Cu1 Cu 0.000 0.000 0.500
I1 I 0.250 0.250 0.250
```

## Properties
spin magnetization	0.000	μB/cell
Fermi-level density of states	0.43	states/eV per atom
calculated density	6.514	g/cm³

## 2
A geometry-optimized CdCuI2 structure. Source: Alexandria via LeMat-Bulk, functional PBE-GGA.

Geometry as CIF:
```
data_CdCuI2
_cell_length_a 6.958
_cell_length_b 6.958
_cell_length_c 12.197
_cell_angle_alpha 90.00
_cell_angle_beta 90.00
_cell_angle_gamma 90.00
_symmetry_space_group_name_H-M 'I -4 2 d'
_symmetry_Int_Tables_number 122
_symmetry_space_group_name_Hall 'I -4 2bw'
loop_
_atom_site_label
_atom_site_type_symbol
_atom_site_fract_x
_atom_site_fract_y
_atom_site_fract_z
Cd1 Cd 0.000 0.000 0.000
Cu1 Cu 0.000 0.000 0.500
I1 I 0.183 0.250 0.625
```

## Properties
spin magnetization	0.000	μB/cell
Fermi-level density of states	1.02	states/eV per atom
calculated density	4.834	g/cm³

2 (33.0 kJ/mol of atoms below the next structure)

## 1
A geometry-optimized Cd2CuI structure. Source: Alexandria via LeMat-Bulk, functional PBE-GGA.

Geometry as CIF:
```
data_Cd2CuI
_cell_length_a 7.454
_cell_length_b 7.454
_cell_length_c 7.454
_cell_angle_alpha 90.00
_cell_angle_beta 90.00
_cell_angle_gamma 90.00
_symmetry_space_group_name_H-M 'F m -3 m'
_symmetry_Int_Tables_number 225
_symmetry_space_group_name_Hall '-F 4 2 3'
loop_
_atom_site_label
_atom_site_type_symbol
_atom_site_fract_x
_atom_site_fract_y
_atom_site_fract_z
Cd1 Cd 0.250 0.250 0.250
Cu1 Cu 0.000 0.000 0.000
I1 I 0.000 0.000 0.500
```

## Properties
spin magnetization	0.000	μB/cell
Fermi-level density of states	0.30	states/eV per atom
calculated density	6.661	g/cm³

## 2
A geometry-optimized Cd2CuI structure. Source: Alexandria via LeMat-Bulk, functional PBE-GGA.

Geometry as CIF:
```
data_Cd2CuI
_cell_length_a 7.464
_cell_length_b 7.464
_cell_length_c 8.824
_cell_angle_alpha 90.00
_cell_angle_beta 90.00
_cell_angle_gamma 90.00
_symmetry_space_group_name_H-M 'I -4 2 d'
_symmetry_Int_Tables_number 122
_symmetry_space_group_name_Hall 'I -4 2bw'
loop_
_atom_site_label
_atom_site_type_symbol
_atom_site_fract_x
_atom_site_fract_y
_atom_site_fract_z
Cd1 Cd 0.193 0.250 0.125
Cu1 Cu 0.000 0.000 0.000
I1 I 0.000 0.000 0.500
```

## Properties
spin magnetization	0.000	μB/cell
Fermi-level density of states	0.06	states/eV per atom
calculated density	5.611	g/cm³

2 (33.2 kJ/mol of atoms below the next structure)

## 1
A geometry-optimized CdCuI2N structure. Source: Alexandria via LeMat-Bulk, functional PBE-GGA.

Geometry as CIF:
```
data_CdCuI2N
_cell_length_a 5.692
_cell_length_b 5.692
_cell_length_c 3.762
_cell_angle_alpha 90.00
_cell_angle_beta 90.00
_cell_angle_gamma 90.00
_symmetry_space_group_name_H-M 'P 4/m m m'
_symmetry_Int_Tables_number 123
_symmetry_space_group_name_Hall '-P 4 2'
loop_
_atom_site_label
_atom_site_type_symbol
_atom_site_fract_x
_atom_site_fract_y
_atom_site_fract_z
Cd1 Cd 0.000 0.000 0.000
Cu1 Cu 0.500 0.500 0.500
I1 I 0.000 0.500 0.500
N1 N 0.500 0.500 0.000
```

## Properties
spin magnetization	1.952	μB/cell
Fermi-level density of states	0.43	states/eV per atom
calculated density	6.047	g/cm³

## 2
A geometry-optimized CdCuI2N structure. Source: Alexandria via LeMat-Bulk, functional PBE-GGA.

Geometry as CIF:
```
data_CdCuI2N
_cell_length_a 6.011
_cell_length_b 6.011
_cell_length_c 4.266
_cell_angle_alpha 90.00
_cell_angle_beta 90.00
_cell_angle_gamma 90.00
_symmetry_space_group_name_H-M 'P 4/m m m'
_symmetry_Int_Tables_number 123
_symmetry_space_group_name_Hall '-P 4 2'
loop_
_atom_site_label
_atom_site_type_symbol
_atom_site_fract_x
_atom_site_fract_y
_atom_site_fract_z
Cd1 Cd 0.000 0.000 0.000
Cu1 Cu 0.500 0.500 0.500
I1 I 0.000 0.500 0.000
N1 N 0.000 0.000 0.500
```

## Properties
spin magnetization	2.036	μB/cell
Fermi-level density of states	0.12	states/eV per atom
calculated density	4.780	g/cm³

1 (35.5 kJ/mol of atoms below the next structure)

## 1
A geometry-optimized CdCuI2O structure. Source: Alexandria via LeMat-Bulk, functional PBE-GGA.

Geometry as CIF:
```
data_CdCuI2O
_cell_length_a 5.927
_cell_length_b 5.927
_cell_length_c 4.047
_cell_angle_alpha 90.00
_cell_angle_beta 90.00
_cell_angle_gamma 90.00
_symmetry_space_group_name_H-M 'P 4/m m m'
_symmetry_Int_Tables_number 123
_symmetry_space_group_name_Hall '-P 4 2'
loop_
_atom_site_label
_atom_site_type_symbol
_atom_site_fract_x
_atom_site_fract_y
_atom_site_fract_z
Cd1 Cd 0.000 0.000 0.000
Cu1 Cu 0.500 0.500 0.500
I1 I 0.000 0.500 0.000
O1 O 0.000 0.000 0.500
```

## Properties
spin magnetization	0.000	μB/cell
Fermi-level density of states	2.27	states/eV per atom
calculated density	5.206	g/cm³

## 2
A geometry-optimized CdCuI2O structure. Source: Alexandria via LeMat-Bulk, functional PBE-GGA.

Geometry as CIF:
```
data_CdCuI2O
_cell_length_a 5.680
_cell_length_b 5.680
_cell_length_c 3.707
_cell_angle_alpha 90.00
_cell_angle_beta 90.00
_cell_angle_gamma 90.00
_symmetry_space_group_name_H-M 'P 4/m m m'
_symmetry_Int_Tables_number 123
_symmetry_space_group_name_Hall '-P 4 2'
loop_
_atom_site_label
_atom_site_type_symbol
_atom_site_fract_x
_atom_site_fract_y
_atom_site_fract_z
Cd1 Cd 0.000 0.000 0.000
Cu1 Cu 0.500 0.500 0.500
I1 I 0.000 0.500 0.500
O1 O 0.500 0.500 0.000
```

## Properties
spin magnetization	0.949	μB/cell
Fermi-level density of states	1.06	states/eV per atom
calculated density	6.187	g/cm³

2 (32.6 kJ/mol of atoms below the next structure)

## 1
A geometry-optimized Rb2CdCuI6 structure. Source: Alexandria via LeMat-Bulk, functional PBE-GGA.

Geometry as CIF:
```
data_Rb2CdCuI6
_cell_length_a 8.372
_cell_length_b 8.372
_cell_length_c 11.632
_cell_angle_alpha 90.00
_cell_angle_beta 90.00
_cell_angle_gamma 90.00
_symmetry_space_group_name_H-M 'I 4/m m m'
_symmetry_Int_Tables_number 139
_symmetry_space_group_name_Hall '-I 4 2'
loop_
_atom_site_label
_atom_site_type_symbol
_atom_site_fract_x
_atom_site_fract_y
_atom_site_fract_z
Rb1 Rb 0.000 0.500 0.250
Cd1 Cd 0.000 0.000 0.000
Cu1 Cu 0.000 0.000 0.500
I1 I 0.000 0.000 0.280
I2 I 0.246 0.246 0.000
```

## Properties
spin magnetization	0.000	μB/cell
Fermi-level density of states	0.67	states/eV per atom
calculated density	4.515	g/cm³

## 2
A geometry-optimized Rb2CdCuI6 structure. Source: Alexandria via LeMat-Bulk, functional PBE-GGA.

Geometry as CIF:
```
data_Rb2CdCuI6
_cell_length_a 7.765
_cell_length_b 7.835
_cell_length_c 9.657
_cell_angle_alpha 67.25
_cell_angle_beta 66.46
_cell_angle_gamma 60.37
_symmetry_space_group_name_H-M 'P 1'
_symmetry_Int_Tables_number 1
loop_
_symmetry_equiv_pos_as_xyz
'x,y,z'
loop_
_atom_site_label
_atom_site_type_symbol
_atom_site_fract_x
_atom_site_fract_y
_atom_site_fract_z
Rb1 Rb 0.000 0.000 0.000
Rb2 Rb 0.442 0.568 0.548
Cd1 Cd 0.240 0.360 0.161
Cu1 Cu 0.703 0.804 0.791
I1 I 0.017 0.587 0.379
I2 I 0.020 0.516 0.920
I3 I 0.425 0.035 0.637
I4 I 0.443 0.955 0.156
I5 I 0.546 0.514 0.923
I6 I 0.901 0.037 0.636
```

## Properties
spin magnetization	0.000	μB/cell
Fermi-level density of states	0.31	states/eV per atom
calculated density	4.047	g/cm³

2 (3.2 kJ/mol of atoms below the next structure)

## 1
A geometry-optimized Sc2CdCuI structure. Source: Alexandria via LeMat-Bulk, functional PBE-GGA.

Geometry as CIF:
```
data_Sc2CdCuI
_cell_length_a 5.018
_cell_length_b 5.018
_cell_length_c 5.456
_cell_angle_alpha 90.00
_cell_angle_beta 90.00
_cell_angle_gamma 90.00
_symmetry_space_group_name_H-M 'P 4/m m m'
_symmetry_Int_Tables_number 123
_symmetry_space_group_name_Hall '-P 4 2'
loop_
_atom_site_label
_atom_site_type_symbol
_atom_site_fract_x
_atom_site_fract_y
_atom_site_fract_z
Sc1 Sc 0.000 0.500 0.000
Cd1 Cd 0.000 0.000 0.500
Cu1 Cu 0.500 0.500 0.000
I1 I 0.500 0.500 0.500
```

## Properties
spin magnetization	0.000	μB/cell
Fermi-level density of states	1.06	states/eV per atom
calculated density	4.746	g/cm³

## 2
A geometry-optimized Sc2CdCuI structure. Source: Alexandria via LeMat-Bulk, functional PBE-GGA.

Geometry as CIF:
```
data_Sc2CdCuI
_cell_length_a 5.317
_cell_length_b 5.317
_cell_length_c 4.810
_cell_angle_alpha 90.00
_cell_angle_beta 90.00
_cell_angle_gamma 90.00
_symmetry_space_group_name_H-M 'P 4/m m m'
_symmetry_Int_Tables_number 123
_symmetry_space_group_name_Hall '-P 4 2'
loop_
_atom_site_label
_atom_site_type_symbol
_atom_site_fract_x
_atom_site_fract_y
_atom_site_fract_z
Sc1 Sc 0.000 0.500 0.000
Cd1 Cd 0.000 0.000 0.500
Cu1 Cu 0.500 0.500 0.500
I1 I 0.500 0.500 0.000
```

## Properties
spin magnetization	0.000	μB/cell
Fermi-level density of states	0.65	states/eV per atom
calculated density	4.796	g/cm³

1 (16.0 kJ/mol of atoms below the next structure)